Material: TlCd5
Method: DFT, GGA-PBEsol
State: relaxed

Computed properties:
Fermi-level density of states ... 0.356 states/eV/atom
Formation energy from the elements ... 38.6 meV per atom
Polymorph energy (0 for the lowest one) ... 0.070 eV per formula unit

Cell lengths 13.5687, 3.1370, 6.3874 Å; angles 90.00, 101.57, 90.00 degrees
Fractional positions:
Tl: 0.0000 0.0000 0.0000
Tl: 0.5000 0.5000 0.0000
Cd: 0.0000 0.0000 0.5000
Cd: 0.1671 0.5000 0.3476
Cd: 0.1759 0.5000 0.8318
Cd: 0.3241 0.0000 0.1682
Cd: 0.3329 0.0000 0.6524
Cd: 0.5000 0.5000 0.5000
Cd: 0.6671 0.0000 0.3476
Cd: 0.6759 0.0000 0.8318
Cd: 0.8241 0.5000 0.1682
Cd: 0.8329 0.5000 0.6524


Material: InSbTe2Br
Method: DFT, GGA-PBEsol
State: relaxed

Computed properties:
Fermi-level density of states ... 0.884 states/eV/atom
Uncorrected formation energy ... 53 kJ/mol of atoms

Cell lengths 5.5116, 5.5116, 5.6767 Å; angles 90.00, 90.00, 90.00 degrees
Fractional positions:
In: 0.0000 0.0000 0.0000
Sb: 0.0000 0.0000 0.5000
Te: 0.0000 0.5000 0.0000
Te: 0.5000 0.0000 0.0000
Br: 0.5000 0.5000 0.5000


Material: KSiIr2
Method: DFT, GGA-PBEsol
State: relaxed

Computed properties:
Fermi-level density of states ... 1.191 states/eV/atom
Uncorrected formation energy ... 26 kJ/mol of atoms

Cell lengths 2.7220, 3.8077, 7.2798 Å; angles 90.00, 90.00, 90.00 degrees
Fractional positions:
K: 0.0000 0.0000 0.0000
Si: 0.5000 0.5000 0.3437
Ir: 0.0000 0.0000 0.4736
Ir: 0.5000 0.5000 0.6674


Material: BaCdTc
Method: DFT, GGA-PBEsol
State: relaxed

Computed properties:
Fermi-level density of states ... 1.152 states/eV/atom
Formation energy from the elements ... 821.6 meV per atom
Polymorph energy (0 for the lowest one) ... 0.304 eV per formula unit

Cell lengths 4.7004, 4.7004, 4.5079 Å; angles 90.00, 90.00, 120.00 degrees
Fractional positions:
Ba: 0.0000 0.0000 0.0000
Cd: 0.3333 0.6667 0.5000
Tc: 0.6667 0.3333 0.5000


Material: LaB2Ir
Method: DFT, GGA-PBEsol
State: relaxed

Computed properties:
Fermi-level density of states ... 0.253 states/eV/atom
Formation energy from the elements ... 339.1 meV per atom

Cell lengths 6.0404, 6.0404, 6.0404 Å; angles 90.00, 90.00, 90.00 degrees
Fractional positions:
La: 0.0000 0.0000 0.0000
La: 0.0000 0.5000 0.5000
La: 0.5000 0.0000 0.5000
La: 0.5000 0.5000 0.0000
B: 0.2500 0.2500 0.2500
B: 0.2500 0.2500 0.7500
B: 0.2500 0.7500 0.2500
B: 0.2500 0.7500 0.7500
B: 0.7500 0.2500 0.2500
B: 0.7500 0.2500 0.7500
B: 0.7500 0.7500 0.2500
B: 0.7500 0.7500 0.7500
Ir: 0.0000 0.0000 0.5000
Ir: 0.0000 0.5000 0.0000
Ir: 0.5000 0.0000 0.0000
Ir: 0.5000 0.5000 0.5000


Material: RbB2S
Method: DFT, GGA-PBEsol
State: relaxed

Computed properties:
Fermi-level density of states ... 0.672 states/eV/atom
Uncorrected formation energy ... 118 kJ/mol of atoms

Cell lengths 6.1874, 6.1874, 7.3822 Å; angles 90.00, 90.00, 90.00 degrees
Fractional positions:
Rb: 0.0000 0.0000 0.0000
Rb: 0.0000 0.5000 0.2500
Rb: 0.5000 0.0000 0.7500
Rb: 0.5000 0.5000 0.5000
B: 0.0818 0.7500 0.6250
B: 0.2500 0.0818 0.3750
B: 0.2500 0.4182 0.8750
B: 0.4182 0.7500 0.1250
B: 0.5818 0.2500 0.1250
B: 0.7500 0.5818 0.8750
B: 0.7500 0.9182 0.3750
B: 0.9182 0.2500 0.6250
S: 0.0000 0.0000 0.5000
S: 0.0000 0.5000 0.7500
S: 0.5000 0.0000 0.2500
S: 0.5000 0.5000 0.0000